Here is LaPuIn2O8 after structural relaxation from Alexandria via LeMat-Bulk. Energies are from PBE.

Unit cell a=7.145 b=7.160 c=6.994 alpha=90.00 beta=90.00 gamma=90.00
Space group Cmmm (No. 65)
One atom of each set of equivalent atoms:
La1 0.000 0.000 0.000 (multiplicity 2)
Pu1 0.000 0.000 0.500 (multiplicity 2)
In1 0.000 0.500 0.250 (multiplicity 4)
O1 0.000 0.188 0.291 (multiplicity 8)
O2 0.182 0.500 0.000 (multiplicity 4)
O3 0.204 0.500 0.500 (multiplicity 4)

Values from the calculation:
The calculation puts the calculated total energy at -7.538 eV/atom.

---

Here is RbLaInO3 after structural relaxation from Alexandria via LeMat-Bulk. Energies are from PBE.

Unit cell a=7.086 b=3.613 c=10.475 alpha=90.00 beta=102.93 gamma=90.00
Space group P2_1/m (No. 11)
One atom of each set of equivalent atoms:
Rb1 0.235 0.250 0.235 (multiplicity 2)
La1 0.183 0.750 0.623 (multiplicity 2)
In1 0.351 0.250 0.902 (multiplicity 2)
O1 0.047 0.750 0.396 (multiplicity 2)
O2 0.178 0.750 0.868 (multiplicity 2)
O3 0.411 0.250 0.710 (multiplicity 2)

Values from the calculation:
The calculation puts the calculated total energy at -6.006 eV/atom.

---

Here is Rb3La2InO6 after structural relaxation from Alexandria via LeMat-Bulk. Energies are from PBE.

Unit cell a=6.284 b=10.896 c=6.912 alpha=90.00 beta=107.51 gamma=90.00
Space group C2/m (No. 12)
One atom of each set of equivalent atoms:
Rb1 0.000 0.000 0.000 (multiplicity 2)
Rb2 0.000 0.338 0.000 (multiplicity 4)
La1 0.000 0.167 0.500 (multiplicity 4)
In1 0.000 0.500 0.500 (multiplicity 2)
O1 0.219 0.342 0.681 (multiplicity 8)
O2 0.244 0.000 0.681 (multiplicity 4)

Values from the calculation:
The calculation puts the calculated total energy at -5.965 eV/atom.

---

Here is Rb2LaInO4 after structural relaxation from Alexandria via LeMat-Bulk. Energies are from PBE.

Unit cell a=7.187 b=7.541 c=10.505 alpha=90.00 beta=90.00 gamma=90.00
Space group Imma (No. 74)
One atom of each set of equivalent atoms:
Rb1 0.000 0.000 0.000 (multiplicity 4)
Rb2 0.250 0.250 0.250 (multiplicity 4)
La1 0.000 0.000 0.500 (multiplicity 4)
In1 0.250 0.250 0.750 (multiplicity 4)
O1 0.000 0.053 0.737 (multiplicity 8)
O2 0.212 0.250 0.525 (multiplicity 8)

Values from the calculation:
The calculation puts the calculated total energy at -5.615 eV/atom.